[1]
DFT (meta-GGA SCAN) results for a crystal of ZnPd3Cl relaxed with PBEsol.

```
ZnPd3Cl
1.0
4.4630 0.0000 0.0000
0.0000 4.4630 0.0000
0.0000 0.0000 4.4630
Zn Pd Cl
1 3 1
Direct
0.0000 0.0000 0.0000
0.0000 0.5000 0.5000
0.5000 0.0000 0.5000
0.5000 0.5000 0.0000
0.5000 0.5000 0.5000
```

Calculated values
- formation energy without anion corrections (eV per atom) = 0.4585
- space group = Pm-3m (221)
- total DFT energy (no corrections) (eV/atom) = -23.50

***

[2]
DFT (meta-GGA SCAN) results for a crystal of Ca3WS relaxed with PBEsol.

```
Ca3WS
1.0
5.2544 0.0000 0.0000
0.0000 5.2544 0.0000
0.0000 0.0000 5.2544
Ca W S
3 1 1
Direct
0.0000 0.0000 0.5000
0.0000 0.5000 0.0000
0.5000 0.0000 0.0000
0.0000 0.0000 0.0000
0.5000 0.5000 0.5000
```

Calculated values
- formation energy without anion corrections (eV per atom) = 0.8170
- space group = Pm-3m (221)
- total DFT energy (no corrections) (eV/atom) = -20.84

***

[3]
DFT (meta-GGA SCAN) results for a crystal of ZnBi2S relaxed with PBEsol.

```
ZnBi2S
1.0
-2.9423 2.9423 7.1514
2.9423 -2.9423 7.1514
2.9423 2.9423 -7.1514
Zn Bi S
2 4 2
Direct
0.0000 0.0000 0.0000
0.7500 0.2500 0.5000
0.1197 0.6250 0.9947
0.3750 0.3697 0.4947
0.6303 0.1250 0.0053
0.8750 0.8803 0.5053
0.2500 0.7500 0.5000
0.5000 0.5000 0.0000
```

Calculated values
- formation energy without anion corrections (eV per atom) = 0.2739
- space group = I-42d (122)
- total DFT energy (no corrections) (eV/atom) = -44.80

***

[4]
DFT (meta-GGA SCAN) results for a crystal of CoB2W2 relaxed with PBEsol.

```
CoB2W2
1.0
-1.5804 2.2654 3.5250
1.5804 -2.2654 3.5250
1.5804 2.2654 -3.5250
Co B W
1 2 2
Direct
0.0000 0.0000 0.0000
0.2928 0.5000 0.7928
0.7072 0.5000 0.2072
0.2989 0.7989 0.5000
0.7011 0.2011 0.5000
```

Calculated values
- formation energy from the elements (meV/atom) = -377
- space group = Immm (71)
- total DFT energy (no corrections) (eV/atom) = -34.69

***

[5]
DFT (meta-GGA SCAN) results for a crystal of Tb5Si3 relaxed with PBEsol.

```
Tb5Si3
1.0
8.4000 0.0000 0.0000
-4.2000 7.2746 0.0000
0.0000 0.0000 6.3003
Tb Si
10 6
Direct
0.0000 0.2437 0.2500
0.0000 0.7563 0.7500
0.2437 0.0000 0.2500
0.2437 0.2437 0.7500
0.3333 0.6667 0.0000
0.3333 0.6667 0.5000
0.6667 0.3333 0.0000
0.6667 0.3333 0.5000
0.7563 0.0000 0.7500
0.7563 0.7563 0.2500
0.0000 0.3947 0.7500
0.0000 0.6053 0.2500
0.3947 0.0000 0.7500
0.3947 0.3947 0.2500
0.6053 0.0000 0.2500
0.6053 0.6053 0.7500
```

Calculated values
- formation energy without anion corrections (eV per atom) = -0.7157
- space group = P6_3/mcm (193)
- total DFT energy (no corrections) (eV/atom) = -33.70

***

[6]
DFT (meta-GGA SCAN) results for a crystal of ZnHg2Sb relaxed with PBEsol.

```
ZnHg2Sb
1.0
4.6637 0.0000 0.0000
0.0000 4.3610 0.0000
-1.2138 0.0000 4.6225
Zn Hg Sb
1 2 1
Direct
0.0000 0.0000 0.0000
0.5024 0.0000 0.4974
0.7749 0.5000 0.2305
0.2142 0.5000 0.7877
```

Calculated values
- formation energy without anion corrections (eV per atom) = 0.0863
- space group = Pm (6)
- relative energy among the computed polymorphs (meV per atom) = 0
- total DFT energy (no corrections) (eV/atom) = -46.69

***

[7]
DFT (meta-GGA SCAN) results for a crystal of NbPbICl2 relaxed with PBEsol.

```
NbPbICl2
1.0
5.6712 0.0000 0.0000
0.0000 5.6712 0.0000
0.0000 0.0000 5.2025
Nb Pb I Cl
1 1 1 2
Direct
0.0000 0.0000 0.0000
0.5000 0.5000 0.0000
0.0000 0.0000 0.5000
0.0000 0.5000 0.5000
0.5000 0.0000 0.5000
```

Calculated values
- formation energy without anion corrections (eV per atom) = 0.7533
- space group = P4/mmm (123)
- total DFT energy (no corrections) (eV/atom) = -31.57

***

[8]
DFT (meta-GGA SCAN) results for a crystal of BaHfF6 relaxed with PBEsol.

```
BaHfF6
1.0
3.7557 -5.6914 0.0000
3.7557 5.6914 0.0000
0.0000 0.0000 5.4718
Ba Hf F
2 2 12
Direct
0.2500 0.7500 0.9383
0.7500 0.2500 0.0617
0.2500 0.2500 0.5000
0.7500 0.7500 0.5000
0.0671 0.3180 0.7482
0.0671 0.9329 0.6535
0.1820 0.4329 0.2518
0.3180 0.0671 0.2518
0.4329 0.1820 0.7482
0.4329 0.5671 0.6535
0.5671 0.4329 0.3465
0.5671 0.8180 0.2518
0.6820 0.9329 0.7482
0.8180 0.5671 0.7482
0.9329 0.0671 0.3465
0.9329 0.6820 0.2518
```

Calculated values
- formation energy without anion corrections (eV per atom) = -4.1330
- space group = Cmme (67)
- total DFT energy (no corrections) (eV/atom) = -19.57

***

[9]
DFT (meta-GGA SCAN) results for a crystal of La2RuBr relaxed with PBEsol.

```
La2RuBr
1.0
-2.2432 2.9704 3.6956
2.2432 -2.9704 3.6956
2.2432 2.9704 -3.6956
La Ru Br
2 1 1
Direct
0.2279 0.2279 0.0000
0.7721 0.7721 0.0000
0.0000 0.5000 0.5000
0.5000 0.0000 0.5000
```

Calculated values
- formation energy without anion corrections (eV per atom) = -0.6827
- space group = Immm (71)
- relative energy among the computed polymorphs (meV per atom) = 367
- total DFT energy (no corrections) (eV/atom) = -35.81

***

[10]
DFT (meta-GGA SCAN) results for a crystal of LaRh2Br relaxed with PBEsol.

```
LaRh2Br
1.0
2.3202 1.3396 4.3942
-2.3202 1.3396 4.3942
0.0000 -2.6792 4.3942
La Rh Br
1 2 1
Direct
0.0000 0.0000 0.0000
0.1969 0.1969 0.1969
0.8031 0.8031 0.8031
0.5000 0.5000 0.5000
```

Calculated values
- formation energy without anion corrections (eV per atom) = -0.2537
- space group = R-3m (166)
- relative energy among the computed polymorphs (meV per atom) = 0
- total DFT energy (no corrections) (eV/atom) = -32.78

***

[11]
DFT (meta-GGA SCAN) results for a crystal of PbBrNF2 relaxed with PBEsol.

```
PbBrNF2
1.0
4.8306 0.0000 0.0000
0.0000 4.8306 0.0000
0.0000 0.0000 3.6809
Pb Br N F
1 1 1 2
Direct
0.0000 0.0000 0.0000
0.5000 0.5000 0.5000
0.5000 0.5000 0.0000
0.0000 0.5000 0.5000
0.5000 0.0000 0.5000
```

Calculated values
- formation energy without anion corrections (eV per atom) = 0.0782
- space group = P4/mmm (123)
- total DFT energy (no corrections) (eV/atom) = -22.24

***

[12]
DFT (meta-GGA SCAN) results for a crystal of Ta2CoAs relaxed with PBEsol.

```
Ta2CoAs
1.0
-3.4026 3.4026 2.7503
3.4026 -3.4026 2.7503
3.4026 3.4026 -2.7503
Ta Co As
4 2 2
Direct
0.1041 0.1250 0.4791
0.3750 0.8959 0.0209
0.6459 0.6250 0.5209
0.8750 0.3541 0.9791
0.0000 0.0000 0.0000
0.7500 0.2500 0.5000
0.2500 0.7500 0.5000
0.5000 0.5000 0.0000
```

Calculated values
- formation energy from the elements (meV/atom) = 149
- space group = I-42d (122)
- total DFT energy (no corrections) (eV/atom) = -42.52

***

Question: Which of these has the lowest total DFT energy (no corrections)?
Answer: ZnHg2Sb

***

Question: total DFT energy (no corrections) of number 4 (CoB2W2)?
Answer: -34.69 eV/atom

***

What did the fourth record say?
DFT (meta-GGA SCAN) results for a crystal of CoB2W2 relaxed with PBEsol.

```
CoB2W2
1.0
-1.5804 2.2654 3.5250
1.5804 -2.2654 3.5250
1.5804 2.2654 -3.5250
Co B W
1 2 2
Direct
0.0000 0.0000 0.0000
0.2928 0.5000 0.7928
0.7072 0.5000 0.2072
0.2989 0.7989 0.5000
0.7011 0.2011 0.5000
```

Calculated values
- formation energy from the elements (meV/atom) = -377
- space group = Immm (71)
- total DFT energy (no corrections) (eV/atom) = -34.69

***

Question: What is the total DFT energy (no corrections) in the second record?
Answer: -20.84 eV/atom